Below is crystalline MnMoSe4 at its relaxed geometry, with properties calculated at the PBE level.

Cell: 8.0391 8.0391 8.0391 Å, 90.00 90.00 90.00°
Space group F-43m (No. 216)
Inequivalent atoms, fractional coordinates:
Mn  0.0000  0.0000  0.0000 [4 per cell]
Mo  0.2500  0.2500  0.7500 [4 per cell]
Se  0.1247  0.1247  0.3753 [16 per cell]

Formation energy from raw total energies: 107.9 kJ/mol of atoms
Spin magnetization: 9.025 μB/f.u.

=====

Below is crystalline HfCdO3 at its relaxed geometry, with properties calculated at the PBE level.

Cell: 4.0613 4.0613 4.0613 Å, 90.00 90.00 90.00°
Space group Pm-3m (No. 221)
Inequivalent atoms, fractional coordinates:
Hf  0.0000  0.0000  0.0000 [1 per cell]
Cd  0.5000  0.5000  0.5000 [1 per cell]
O  0.0000  0.5000  0.5000 [3 per cell]

Formation energy from raw total energies: -45.1 kJ/mol of atoms
Spin magnetization: 0.000 μB/f.u.

=====

Below is crystalline Ho2ScAu3 at its relaxed geometry, with properties calculated at the PBE level.

Cell: 3.5021 3.5021 10.6967 Å, 90.00 90.00 90.00°
Space group P4/mmm (No. 123)
Inequivalent atoms, fractional coordinates:
Ho  0.0000  0.0000  0.1720 [2 per cell]
Sc  0.0000  0.0000  0.5000 [1 per cell]
Au  0.5000  0.5000  0.0000 [1 per cell]
Au  0.5000  0.5000  0.3481 [2 per cell]

Formation enthalpy at 0 K: -0.85 eV/atom
Spin magnetization: 0.000 μB/f.u.

=====

Below is crystalline NaPaInS4 at its relaxed geometry, with properties calculated at the PBE level.

Cell: 8.1197 8.2362 11.4306 Å, 90.00 90.00 90.00°
Space group Imma (No. 74)
Inequivalent atoms, fractional coordinates:
Na  0.0000  0.2500  0.1368 [4 per cell]
Pa  0.0000  0.0000  0.5000 [4 per cell]
In  0.2500  0.2500  0.7500 [4 per cell]
S  0.0000  0.0292  0.7311 [8 per cell]
S  0.2170  0.2500  0.5021 [8 per cell]

Formation energy from raw total energies: -110.3 kJ/mol of atoms
Spin magnetization: 0.522 μB/f.u.

=====

Below is crystalline ThCuNi at its relaxed geometry, with properties calculated at the PBE level.

Cell: 4.2220 4.2220 3.6938 Å, 90.00 90.00 120.00°
Space group P-6m2 (No. 187)
Inequivalent atoms, fractional coordinates:
Th  0.0000  0.0000  0.0000 [1 per cell]
Cu  0.6667  0.3333  0.5000 [1 per cell]
Ni  0.3333  0.6667  0.5000 [1 per cell]

Formation enthalpy at 0 K: -0.32 eV/atom
Spin magnetization: 0.000 μB/f.u.

=====

Below is crystalline LiCd4Hg2 at its relaxed geometry, with properties calculated at the PBE level.

Cell: 6.8423 13.5511 3.3807 Å, 90.00 90.00 90.00°
Space group Pbam (No. 55)
Inequivalent atoms, fractional coordinates:
Li  0.0000  0.0000  0.0000 [2 per cell]
Cd  0.0140  0.2361  0.0000 [4 per cell]
Cd  0.2088  0.6103  0.5000 [4 per cell]
Hg  0.2342  0.3964  0.5000 [4 per cell]

Formation enthalpy at 0 K: -0.11 eV/atom
Spin magnetization: 0.000 μB/f.u.

=====

Below is crystalline AcPrAgI at its relaxed geometry, with properties calculated at the PBE level.

Cell: 7.9491 7.9491 7.9491 Å, 90.00 90.00 90.00°
Space group F-43m (No. 216)
Inequivalent atoms, fractional coordinates:
Ac  0.0000  0.0000  0.0000 [4 per cell]
Pr  0.0000  0.0000  0.5000 [4 per cell]
Ag  0.2500  0.2500  0.7500 [4 per cell]
I  0.2500  0.2500  0.2500 [4 per cell]

Formation energy from raw total energies: -38.9 kJ/mol of atoms
Spin magnetization: 0.000 μB/f.u.

=====

Below is crystalline CdBiOs2 at its relaxed geometry, with properties calculated at the PBE level.

Cell: 4.2374 4.2374 19.7785 Å, 90.00 90.00 90.00°
Space group I-42d (No. 122)
Inequivalent atoms, fractional coordinates:
Cd  0.0000  0.0000  0.0000 [4 per cell]
Bi  0.0000  0.0000  0.5000 [4 per cell]
Os  0.1388  0.2500  0.1250 [8 per cell]

Formation enthalpy at 0 K: 1.03 eV/atom
Spin magnetization: 0.000 μB/f.u.

=====

Below is crystalline ZnRe3Pt at its relaxed geometry, with properties calculated at the PBE level.

Cell: 4.4310 4.4310 4.4310 Å, 90.00 90.00 90.00°
Space group Pm-3m (No. 221)
Inequivalent atoms, fractional coordinates:
Zn  0.0000  0.0000  0.0000 [1 per cell]
Re  0.0000  0.0000  0.5000 [3 per cell]
Pt  0.5000  0.5000  0.5000 [1 per cell]

Formation enthalpy at 0 K: 1.99 eV/atom
Spin magnetization: 0.000 μB/f.u.

=====

Below is crystalline TlAg2Hg at its relaxed geometry, with properties calculated at the PBE level.

Cell: 3.2100 3.9362 6.9455 Å, 90.00 90.57 90.00°
Space group P2/m (No. 10)
Inequivalent atoms, fractional coordinates:
Tl  0.0000  0.0000  0.0000 [1 per cell]
Ag  0.4980  0.5000  0.2724 [2 per cell]
Hg  0.0000  0.0000  0.5000 [1 per cell]

Formation enthalpy at 0 K: 0.13 eV/atom
Spin magnetization: 0.000 μB/f.u.

=====

Below is crystalline K2TbIr3O12 at its relaxed geometry, with properties calculated at the PBE level.

Cell: 7.3018 7.3018 19.0572 Å, 90.00 90.00 120.00°
Space group R-3m (No. 166, hexagonal axes)
Inequivalent atoms, fractional coordinates:
K  0.0000  0.0000  0.1032 [6 per cell]
Tb  0.0000  0.0000  0.5000 [3 per cell]
Ir  0.0000  0.5000  0.0000 [9 per cell]
O  0.0455  0.5228  0.0977 [18 per cell]
O  0.0669  0.5334  0.3460 [18 per cell]

Formation energy from raw total energies: -113.0 kJ/mol of atoms
Spin magnetization: 4.461 μB/f.u.

=====

Below is crystalline ScCoHg2S at its relaxed geometry, with properties calculated at the PBE level.

Cell: 5.6853 5.6853 4.6952 Å, 90.00 90.00 90.00°
Space group P4/mmm (No. 123)
Inequivalent atoms, fractional coordinates:
Sc  0.0000  0.0000  0.0000 [1 per cell]
Co  0.5000  0.5000  0.5000 [1 per cell]
Hg  0.0000  0.5000  0.0000 [2 per cell]
S  0.0000  0.0000  0.5000 [1 per cell]

Formation energy from raw total energies: 46.5 kJ/mol of atoms
Spin magnetization: 2.325 μB/f.u.

=====

Below is crystalline CaPOF2 at its relaxed geometry, with properties calculated at the PBE level.

Cell: 4.5078 4.5078 3.6180 Å, 90.00 90.00 90.00°
Space group P4/mmm (No. 123)
Inequivalent atoms, fractional coordinates:
Ca  0.0000  0.0000  0.0000 [1 per cell]
P  0.5000  0.5000  0.5000 [1 per cell]
O  0.5000  0.5000  0.0000 [1 per cell]
F  0.0000  0.5000  0.5000 [2 per cell]

Formation energy from raw total energies: -164.0 kJ/mol of atoms
Spin magnetization: 0.364 μB/f.u.